1.
A plane-wave DFT calculation with PBEsol was carried out for AsP2ClO after structural relaxation.

Unit cell a=3.655 b=4.853 c=4.853 alpha=90.00 beta=90.00 gamma=90.00
Element x y z (fractional)
Cl (0.500, 0.500, 0.500)
P (0.000, 0.000, 0.500)
P (0.000, 0.500, 0.000)
As (0.000, 0.000, 0.000)
O (0.500, 0.000, 0.000)

Calculated values
Formation energy (no corrections) ... 528 meV/atom
Density ... 3.63 g/cm³
E above lowest polymorph ... 81.8 meV per atom
M_tot ... 0.00 μB/f.u.



2.
A plane-wave DFT calculation with PBEsol was carried out for As3Pb5ClO9 after structural relaxation.

Unit cell a=6.942 b=10.362 c=10.362 alpha=120.00 beta=90.00 gamma=90.00
Element x y z (fractional)
O (0.054, 0.904, 0.277)
O (0.250, 0.534, 0.385)
O (0.054, 0.373, 0.096)
O (0.054, 0.723, 0.627)
O (0.250, 0.615, 0.149)
O (0.446, 0.373, 0.096)
O (0.250, 0.851, 0.466)
O (0.946, 0.627, 0.904)
O (0.750, 0.466, 0.615)
O (0.750, 0.385, 0.851)
O (0.554, 0.096, 0.723)
O (0.446, 0.904, 0.277)
O (0.946, 0.277, 0.373)
O (0.946, 0.096, 0.723)
O (0.750, 0.149, 0.534)
O (0.554, 0.627, 0.904)
O (0.554, 0.277, 0.373)
O (0.446, 0.723, 0.627)
Pb (0.250, 0.265, 0.226)
Pb (0.493, 0.667, 0.333)
Pb (0.007, 0.667, 0.333)
Pb (0.750, 0.226, 0.961)
Pb (0.507, 0.333, 0.667)
Pb (0.750, 0.735, 0.774)
Pb (0.993, 0.333, 0.667)
Pb (0.250, 0.961, 0.735)
Pb (0.250, 0.774, 0.039)
Pb (0.750, 0.039, 0.265)
As (0.250, 0.598, 0.585)
As (0.750, 0.013, 0.598)
As (0.750, 0.402, 0.415)
As (0.250, 0.415, 0.013)
As (0.250, 0.987, 0.402)
As (0.750, 0.585, 0.987)
Cl (0.000, 0.000, 0.000)
Cl (0.500, 0.000, 0.000)

Calculated values
Formation energy (no corrections) ... -1224 meV/atom
Density ... 7.41 g/cm³
E above lowest polymorph ... 0.0 meV per atom
M_tot ... 0.00 μB/f.u.



3.
A plane-wave DFT calculation with PBEsol was carried out for As3Pb5ClO12 after structural relaxation.

Unit cell a=7.329 b=10.296 c=10.296 alpha=120.00 beta=90.00 gamma=90.00
Element x y z (fractional)
O (0.250, 0.120, 0.518)
O (0.750, 0.603, 0.120)
O (0.750, 0.518, 0.397)
O (0.250, 0.495, 0.333)
O (0.750, 0.880, 0.482)
O (0.564, 0.736, 0.642)
O (0.064, 0.095, 0.736)
O (0.436, 0.642, 0.905)
O (0.436, 0.095, 0.736)
O (0.936, 0.736, 0.642)
O (0.436, 0.264, 0.358)
O (0.064, 0.264, 0.358)
O (0.750, 0.162, 0.495)
O (0.250, 0.397, 0.880)
O (0.250, 0.482, 0.603)
O (0.936, 0.358, 0.095)
O (0.936, 0.905, 0.264)
O (0.750, 0.505, 0.667)
O (0.564, 0.905, 0.264)
O (0.250, 0.667, 0.162)
O (0.564, 0.358, 0.095)
O (0.064, 0.642, 0.905)
O (0.250, 0.838, 0.505)
O (0.750, 0.333, 0.838)
As (0.250, 0.591, 0.972)
As (0.750, 0.972, 0.381)
As (0.250, 0.028, 0.619)
As (0.250, 0.381, 0.409)
As (0.750, 0.619, 0.591)
As (0.750, 0.409, 0.028)
Pb (0.250, 0.014, 0.253)
Pb (0.504, 0.333, 0.667)
Pb (0.750, 0.253, 0.239)
Pb (0.750, 0.986, 0.747)
Pb (0.250, 0.747, 0.761)
Pb (0.496, 0.667, 0.333)
Pb (0.250, 0.239, 0.986)
Pb (0.996, 0.333, 0.667)
Pb (0.750, 0.761, 0.014)
Pb (0.004, 0.667, 0.333)
Cl (0.500, 0.000, 0.000)
Cl (0.000, 0.000, 0.000)

Calculated values
Formation energy (no corrections) ... -1306 meV/atom
Density ... 7.35 g/cm³
M_tot ... 0.00 μB/f.u.



4.
A plane-wave DFT calculation with PBEsol was carried out for As3Pb5ClO9 after structural relaxation.

Unit cell a=7.335 b=10.340 c=10.340 alpha=120.00 beta=90.00 gamma=90.00
Element x y z (fractional)
Pb (0.541, 0.000, 0.000)
Pb (0.761, 0.682, 0.041)
Pb (0.406, 0.667, 0.333)
Pb (0.261, 0.041, 0.360)
Pb (0.261, 0.640, 0.682)
Pb (0.906, 0.333, 0.667)
Pb (0.761, 0.360, 0.318)
Pb (0.761, 0.959, 0.640)
Pb (0.261, 0.318, 0.959)
Pb (0.041, 0.000, 0.000)
Cl (0.769, 0.667, 0.333)
Cl (0.269, 0.333, 0.667)
O (0.967, 0.594, 0.731)
O (0.775, 0.199, 0.061)
O (0.967, 0.137, 0.406)
O (0.967, 0.269, 0.863)
O (0.775, 0.863, 0.801)
O (0.467, 0.731, 0.137)
O (0.619, 0.178, 0.815)
O (0.467, 0.406, 0.269)
O (0.119, 0.363, 0.178)
O (0.619, 0.637, 0.822)
O (0.775, 0.939, 0.137)
O (0.275, 0.137, 0.199)
O (0.619, 0.185, 0.363)
O (0.467, 0.863, 0.594)
O (0.275, 0.061, 0.863)
O (0.119, 0.822, 0.185)
O (0.119, 0.815, 0.637)
O (0.275, 0.801, 0.939)
As (0.752, 0.660, 0.694)
As (0.252, 0.694, 0.034)
As (0.252, 0.966, 0.660)
As (0.252, 0.340, 0.306)
As (0.752, 0.306, 0.966)
As (0.752, 0.034, 0.340)

Calculated values
Formation energy (no corrections) ... -1149 meV/atom
Density ... 7.04 g/cm³
E above lowest polymorph ... 75.2 meV per atom
M_tot ... 0.00 μB/f.u.



5.
A plane-wave DFT calculation with PBEsol was carried out for Pr5As2ClO10 after structural relaxation.

Unit cell a=5.695 b=6.869 c=8.858 alpha=68.64 beta=71.25 gamma=65.51
Element x y z (fractional)
O (0.132, 0.325, 0.917)
O (0.358, 0.683, 0.601)
O (0.626, 0.325, 0.917)
O (0.376, 0.968, 0.751)
O (0.374, 0.675, 0.083)
O (0.095, 0.032, 0.249)
O (0.642, 0.317, 0.399)
O (0.868, 0.675, 0.083)
O (0.905, 0.968, 0.751)
O (0.624, 0.032, 0.249)
As (0.214, 0.968, 0.604)
As (0.786, 0.032, 0.396)
Pr (0.253, 0.363, 0.131)
Pr (0.000, 0.000, 0.000)
Pr (0.500, 0.706, 0.293)
Pr (0.747, 0.637, 0.869)
Pr (0.500, 0.294, 0.707)
Cl (0.000, 0.500, 0.500)

Calculated values
Formation energy (no corrections) ... -2805 meV/atom
Density ... 6.06 g/cm³
M_tot ... 0.00 μB/f.u.



6.
A plane-wave DFT calculation with PBEsol was carried out for As2SeClO after structural relaxation.

Unit cell a=4.777 b=4.849 c=4.849 alpha=90.00 beta=90.00 gamma=90.00
Element x y z (fractional)
Se (0.500, 0.000, 0.000)
As (0.000, 0.500, 0.000)
As (0.000, 0.000, 0.500)
O (0.500, 0.500, 0.500)
Cl (0.000, 0.000, 0.000)

Calculated values
Formation energy (no corrections) ... 1540 meV/atom
Density ... 4.14 g/cm³
M_tot ... 0.72 μB/f.u.



7.
A plane-wave DFT calculation with PBEsol was carried out for Zn2AsClO after structural relaxation.

Unit cell a=4.717 b=4.849 c=4.849 alpha=90.00 beta=90.00 gamma=90.00
Element x y z (fractional)
Cl (0.000, 0.000, 0.000)
As (0.500, 0.000, 0.000)
O (0.500, 0.500, 0.500)
Zn (0.000, 0.500, 0.000)
Zn (0.000, 0.000, 0.500)

Calculated values
Formation energy (no corrections) ... 1213 meV/atom
Density ... 3.85 g/cm³
M_tot ... 1.49 μB/f.u.



8.
A plane-wave DFT calculation with PBEsol was carried out for As2OsCl after structural relaxation.

Unit cell a=2.884 b=2.884 c=9.434 alpha=90.00 beta=90.00 gamma=118.68
Element x y z (fractional)
As (0.000, 0.000, 0.220)
As (0.000, 0.000, 0.780)
Os (0.500, 0.500, 0.000)
Cl (0.500, 0.500, 0.500)

Calculated values
Formation energy (no corrections) ... 358 meV/atom
Density ... 9.06 g/cm³
E above lowest polymorph ... 0.0 meV per atom
M_tot ... 0.00 μB/f.u.